The following is a PBE-GGA calculation of an optimized crystal structure of K3AgI2O8, from Alexandria.

CIF file:
```
data_K3AgI2O8
_cell_length_a 6.1944
_cell_length_b 6.1944
_cell_length_c 7.9055
_cell_angle_alpha 90.00
_cell_angle_beta 90.00
_cell_angle_gamma 120.00
_symmetry_space_group_name_H-M 'P -3 m 1'
_symmetry_Int_Tables_number 164
_symmetry_space_group_name_Hall '-P 3 2"'
loop_
_atom_site_label
_atom_site_type_symbol
_atom_site_fract_x
_atom_site_fract_y
_atom_site_fract_z
_atom_site_occupancy
K1 K 0.0000 0.0000 0.0000 1
K2 K 0.3333 0.6667 0.6490 1
Ag1 Ag 0.0000 0.0000 0.5000 1
I1 I 0.3333 0.6667 0.2120 1
O1 O 0.1715 0.3430 0.3106 1
O2 O 0.3333 0.6667 0.9749 1
```

Summary:
- formation energy from raw total energies (eV per atom) = -0.731

***

The following is a PBE-GGA calculation of an optimized crystal structure of CaThTl, from Alexandria.

CIF file:
```
data_CaThTl
_cell_length_a 3.5360
_cell_length_b 3.5360
_cell_length_c 31.1373
_cell_angle_alpha 90.00
_cell_angle_beta 90.00
_cell_angle_gamma 90.00
_symmetry_space_group_name_H-M 'I 4/m m m'
_symmetry_Int_Tables_number 139
_symmetry_space_group_name_Hall '-I 4 2'
loop_
_atom_site_label
_atom_site_type_symbol
_atom_site_fract_x
_atom_site_fract_y
_atom_site_fract_z
_atom_site_occupancy
Ca1 Ca 0.0000 0.0000 0.0581 1
Th1 Th 0.0000 0.0000 0.2066 1
Tl1 Tl 0.0000 0.0000 0.3716 1
```

Summary:
- energy of formation from the pure elements (eV per atom) = -0.10
- energy above the most stable polymorph in this dataset (eV per atom) = 0.0000

***

The following is a PBE-GGA calculation of an optimized crystal structure of KTl2Si, from Alexandria.

CIF file:
```
data_KTl2Si
_cell_length_a 4.7133
_cell_length_b 4.8150
_cell_length_c 5.0099
_cell_angle_alpha 90.00
_cell_angle_beta 90.00
_cell_angle_gamma 90.00
_symmetry_space_group_name_H-M 'P m m m'
_symmetry_Int_Tables_number 47
loop_
_symmetry_equiv_pos_as_xyz
'x,y,z'
'-x,-y,-z'
'-x,-y,z'
'x,y,-z'
'x,-y,-z'
'-x,y,z'
'-x,y,-z'
'x,-y,z'
loop_
_atom_site_label
_atom_site_type_symbol
_atom_site_fract_x
_atom_site_fract_y
_atom_site_fract_z
_atom_site_occupancy
K1 K 0.0000 0.0000 0.0000 1
Tl1 Tl 0.0000 0.5000 0.5000 1
Tl2 Tl 0.5000 0.5000 0.0000 1
Si1 Si 0.5000 0.0000 0.5000 1
```

Summary:
- formation energy from raw total energies (eV per atom) = 0.325
- energy above the most stable polymorph in this dataset (eV per atom) = 0.2070

***

The following is a PBE-GGA calculation of an optimized crystal structure of HoZr3, from Alexandria.

CIF file:
```
data_HoZr3
_cell_length_a 3.2971
_cell_length_b 10.4959
_cell_length_c 5.7468
_cell_angle_alpha 90.00
_cell_angle_beta 90.00
_cell_angle_gamma 90.00
_symmetry_space_group_name_H-M 'I m m 2'
_symmetry_Int_Tables_number 44
loop_
_symmetry_equiv_pos_as_xyz
'x,y,z'
'-x,-y,z'
'-x,y,z'
'x,-y,z'
'x+1/2,y+1/2,z+1/2'
'-x+1/2,-y+1/2,z+1/2'
'-x+1/2,y+1/2,z+1/2'
'x+1/2,-y+1/2,z+1/2'
loop_
_atom_site_label
_atom_site_type_symbol
_atom_site_fract_x
_atom_site_fract_y
_atom_site_fract_z
_atom_site_occupancy
Ho1 Ho 0.0000 0.0000 0.0000 1
Zr1 Zr 0.0000 0.2468 0.6658 1
Zr2 Zr 0.0000 0.5000 0.9965 1
```

Summary:
- energy of formation from the pure elements (eV per atom) = 0.05
- energy above the most stable polymorph in this dataset (eV per atom) = 0.0120

***

The following is a PBE-GGA calculation of an optimized crystal structure of Zn2MoAs, from Alexandria.

CIF file:
```
data_Zn2MoAs
_cell_length_a 3.6120
_cell_length_b 4.1672
_cell_length_c 8.6470
_cell_angle_alpha 90.00
_cell_angle_beta 90.00
_cell_angle_gamma 90.00
_symmetry_space_group_name_H-M 'C m m m'
_symmetry_Int_Tables_number 65
_symmetry_space_group_name_Hall '-C 2 2'
loop_
_atom_site_label
_atom_site_type_symbol
_atom_site_fract_x
_atom_site_fract_y
_atom_site_fract_z
_atom_site_occupancy
Zn1 Zn 0.0000 0.0000 0.2345 1
Mo1 Mo 0.0000 0.5000 0.0000 1
As1 As 0.0000 0.5000 0.5000 1
```

Summary:
- energy of formation from the pure elements (eV per atom) = 0.22

***

The following is a PBE-GGA calculation of an optimized crystal structure of Na2IrCl6, from Alexandria.

CIF file:
```
data_Na2IrCl6
_cell_length_a 6.2542
_cell_length_b 6.2542
_cell_length_c 12.0257
_cell_angle_alpha 90.00
_cell_angle_beta 90.00
_cell_angle_gamma 90.00
_symmetry_space_group_name_H-M 'P 42/m n m'
_symmetry_Int_Tables_number 136
_symmetry_space_group_name_Hall '-P 4n 2n'
loop_
_atom_site_label
_atom_site_type_symbol
_atom_site_fract_x
_atom_site_fract_y
_atom_site_fract_z
_atom_site_occupancy
Na1 Na 0.0000 0.0000 0.1677 1
Ir1 Ir 0.0000 0.0000 0.5000 1
Cl1 Cl 0.1827 0.1827 0.3579 1
Cl2 Cl 0.2365 0.2365 0.0000 1
```

Summary:
- formation energy from raw total energies (eV per atom) = -1.011
- energy above the most stable polymorph in this dataset (eV per atom) = 0.0391

***

The following is a PBE-GGA calculation of an optimized crystal structure of La2PmTl2Cd2, from Alexandria.

CIF file:
```
data_La2PmTl2Cd2
_cell_length_a 4.9756
_cell_length_b 4.9756
_cell_length_c 27.8185
_cell_angle_alpha 90.00
_cell_angle_beta 90.00
_cell_angle_gamma 120.00
_symmetry_space_group_name_H-M 'R -3 m'
_symmetry_Int_Tables_number 166
_symmetry_space_group_name_Hall '-R 3 2"'
loop_
_atom_site_label
_atom_site_type_symbol
_atom_site_fract_x
_atom_site_fract_y
_atom_site_fract_z
_atom_site_occupancy
La1 La 0.0000 0.0000 0.1389 1
Pm1 Pm 0.0000 0.0000 0.0000 1
Tl1 Tl 0.0000 0.0000 0.2733 1
Cd1 Cd 0.0000 0.0000 0.4184 1
```

Summary:
- energy of formation from the pure elements (eV per atom) = -0.22

***

The following is a PBE-GGA calculation of an optimized crystal structure of AlAg2CCl, from Alexandria.

CIF file:
```
data_AlAg2CCl
_cell_length_a 5.0704
_cell_length_b 5.0704
_cell_length_c 4.7764
_cell_angle_alpha 90.00
_cell_angle_beta 90.00
_cell_angle_gamma 90.00
_symmetry_space_group_name_H-M 'P 4/m m m'
_symmetry_Int_Tables_number 123
_symmetry_space_group_name_Hall '-P 4 2'
loop_
_atom_site_label
_atom_site_type_symbol
_atom_site_fract_x
_atom_site_fract_y
_atom_site_fract_z
_atom_site_occupancy
Al1 Al 0.0000 0.0000 0.0000 1
Ag1 Ag 0.0000 0.5000 0.0000 1
C1 C 0.5000 0.5000 0.5000 1
Cl1 Cl 0.0000 0.0000 0.5000 1
```

Summary:
- formation energy from raw total energies (eV per atom) = 1.556

***

Number 1: density of states at the Fermi level 2.8 states/eV per cell. Number 2: density of states at the Fermi level 10.5 states/eV per cell. Number 3: density of states at the Fermi level 2.8 states/eV per cell. Number 4: density of states at the Fermi level 8.9 states/eV per cell. Number 5: density of states at the Fermi level 6.2 states/eV per cell. Number 6: density of states at the Fermi level 12.6 states/eV per cell. Number 7: density of states at the Fermi level 12.6 states/eV per cell. Number 8: density of states at the Fermi level 2.3 states/eV per cell.